--- 1 ---
CoReRu | Alexandria via LeMat-Bulk | GGA-PBEsol | optimized geometry; SG = Fmm2; Fermi-level density of states = 4.2 states/eV/f.u.; M_tot = 0.65 μB/atom
1.0
-0.9068 -0.0571 -2.4447
1.7555 -1.8384 0.5838
-5.1753 -3.0002 2.7849
Re Co Ru
1 1 1
direct
0.6631 0.6631 0.3263
0.0008 0.0008 0.0015
0.3361 0.3361 0.6722

--- 2 ---
CoReRu | Alexandria via LeMat-Bulk | GGA-PBEsol | optimized geometry; SG = I4mm; Fermi-level density of states = 3.1 states/eV/f.u.; M_tot = 0.00 μB/atom
1.0
2.6434 0.0000 0.0000
0.0000 2.6434 0.0000
-1.3217 -1.3217 5.4437
Re Co Ru
1 1 1
direct
0.6609 0.6609 0.3218
0.0015 0.0015 0.0030
0.3376 0.3376 0.6752

2 is favored, and the nearest alternative lies 328 meV per atom above it.

--- 1 ---
CoReRu2 | Alexandria via LeMat-Bulk | GGA-PBEsol | optimized geometry; SG = Cmmm; Fermi-level density of states = 4.9 states/eV/f.u.; M_tot = 0.00 μB/atom
1.0
-0.8673 2.1734 1.2659
-3.3951 -2.4074 1.8070
3.5881 -0.1821 2.7711
Co Re Ru
1 1 2
direct
0.5000 0.0000 0.0000
0.5000 0.5000 0.5000
0.0000 0.5000 0.0000
0.0000 0.0000 0.5000

--- 2 ---
CoReRu2 | Alexandria via LeMat-Bulk | GGA-PBEsol | optimized geometry; SG = R-3m; Fermi-level density of states = 5.1 states/eV/f.u.; M_tot = 0.33 μB/atom
1.0
2.6618 0.0000 0.0000
1.3309 2.3052 0.0000
1.3309 0.7684 8.5219
Co Re Ru
1 1 2
direct
0.5000 0.5000 0.5000
0.0000 0.0000 0.0000
0.2472 0.2472 0.2584
0.7528 0.7528 0.7416

1 is favored, and the nearest alternative lies 17 meV per atom above it.

--- 1 ---
Sc3CoRe | Alexandria via LeMat-Bulk | GGA-PBEsol | optimized geometry; SG = Pm-3m; Fermi-level density of states = 4.7 states/eV/f.u.; M_tot = 0.13 μB/atom
1.0
4.5816 0.0000 0.0000
0.0000 4.5816 0.0000
0.0000 0.0000 4.5816
Sc Re Co
3 1 1
direct
0.0000 0.5000 0.0000
0.0000 0.0000 0.5000
0.5000 0.0000 0.0000
0.5000 0.5000 0.5000
0.0000 0.0000 0.0000

--- 2 ---
Sc3CoRe | Alexandria via LeMat-Bulk | GGA-PBEsol | optimized geometry; SG = Pm-3m; Fermi-level density of states = 7.2 states/eV/f.u.; M_tot = 0.27 μB/atom
1.0
-1.4849 -4.5207 1.2481
1.3025 -1.6552 -4.4456
4.5054 -1.0114 1.6965
Sc Re Co
3 1 1
direct
0.0000 0.5000 0.0000
0.0000 0.0000 0.5000
0.5000 0.0000 0.0000
0.0000 0.0000 0.0000
0.5000 0.5000 0.5000

1 is favored, and the nearest alternative lies 311 meV per atom above it.

--- 1 ---
SrCoRe2 | Alexandria via LeMat-Bulk | GGA-PBEsol | optimized geometry; SG = P4/mmm; Fermi-level density of states = 3.2 states/eV/f.u.; M_tot = 0.23 μB/atom
1.0
3.0923 0.0000 0.0000
0.0000 3.0923 0.0000
0.0000 0.0000 7.3971
Co Re Sr
1 2 1
direct
0.5000 0.5000 0.5000
0.0000 0.0000 0.6629
0.0000 0.0000 0.3371
0.5000 0.5000 0.0000

--- 2 ---
SrCoRe2 | Alexandria via LeMat-Bulk | GGA-PBEsol | optimized geometry; SG = P4/mmm; Fermi-level density of states = 5.0 states/eV/f.u.; M_tot = 0.02 μB/atom
1.0
3.6981 0.0000 0.0000
0.0000 3.6981 0.0000
0.0000 0.0000 4.9421
Co Re Sr
1 2 1
direct
0.0000 0.0000 0.5000
0.0000 0.5000 0.0000
0.5000 0.0000 0.0000
0.5000 0.5000 0.5000

1 is favored, and the nearest alternative lies 427 meV per atom above it.